Record 1
# SrSbRh2

A relaxed SrSbRh2 crystal (PBE, Alexandria).

```
SrSbRh2
1.0
-4.603 -0.860 -1.427
-2.609 -3.539 2.152
-3.733 1.158 2.947
Rh Sb Sr
2 1 1
direct
0.000 0.000 0.000
0.250 0.250 0.250
0.500 0.500 0.500
0.750 0.750 0.750
```

Results
The value obtained for the raw formation energy is 97 meV/atom.

---

Record 2
# BaZn2Sn

A relaxed BaZn2Sn crystal (PBE, Alexandria).

```
BaZn2Sn
1.0
5.191 0.000 0.000
0.000 5.191 0.000
2.596 2.596 9.465
Zn Ba Sn
4 2 2
direct
0.375 0.125 0.250
0.375 0.625 0.250
0.375 0.625 0.750
0.875 0.625 0.750
0.000 0.000 0.000
0.750 0.250 0.500
0.500 0.500 0.000
0.250 0.750 0.500
```

Results
For the formation energy from the elements, the calculation gives -0.20 eV/atom.

---

Record 3
# Sm5RuRh4

A relaxed Sm5RuRh4 crystal (PBE, Alexandria).

```
Sm5RuRh4
1.0
-1.264 0.945 -3.142
-1.246 -3.253 -0.478
-14.897 4.621 7.382
Sm Ru Rh
5 1 4
direct
0.500 0.500 0.099
0.500 0.500 0.300
0.500 0.500 0.500
0.500 0.500 0.700
0.500 0.500 0.901
0.000 0.000 0.000
0.000 0.000 0.202
0.000 0.000 0.400
0.000 0.000 0.600
0.000 0.000 0.798
```

Results
For the formation energy from the elements, the calculation gives -0.61 eV/atom.

---

Record 4
# CeScS2

A relaxed CeScS2 crystal (PBE, Alexandria).

```
CeScS2
1.0
-3.219 -0.354 -1.899
-1.859 -3.261 0.049
-5.138 0.841 4.842
Ce Sc S
1 1 2
direct
0.496 0.496 0.512
0.671 0.671 0.987
0.073 0.073 0.781
0.260 0.260 0.220
```

Results
The value obtained for the raw formation energy is -1875 meV/atom.

---

Record 5
# AgHS3

A relaxed AgHS3 crystal (PBE, Alexandria).

```
AgHS3
1.0
4.946 0.000 0.000
0.000 4.946 0.000
0.000 0.000 4.946
H S Ag
1 3 1
direct
0.500 0.500 0.500
0.000 0.500 0.000
0.000 0.000 0.500
0.500 0.000 0.000
0.000 0.000 0.000
```

Results
Its raw total energy is -2.347 eV per atom.

---

Record 6
# KTe2Se2

A relaxed KTe2Se2 crystal (PBE, Alexandria).

```
KTe2Se2
1.0
8.904 0.000 0.000
0.000 8.904 0.000
0.000 0.000 3.859
K Te Se
2 4 4
direct
0.000 0.000 0.000
0.500 0.500 0.000
0.370 0.870 0.000
0.870 0.630 0.000
0.630 0.130 0.000
0.130 0.370 0.000
0.213 0.713 0.500
0.713 0.787 0.500
0.787 0.287 0.500
0.287 0.213 0.500
```

Results
The value obtained for the raw formation energy is -223 meV/atom.